[1]
# NaYGa2Cl6 GGA-PBE optimized geometry
data_NaYGa2Cl6
_chemical_formula_sum 'Na2 Y2 Ga4 Cl12'
_cell_length_a 7.083
_cell_length_b 7.657
_cell_length_c 10.355
_cell_angle_alpha 90.00
_cell_angle_beta 88.14
_cell_angle_gamma 90.00
_symmetry_space_group_name_H-M 'P 1'
_symmetry_Int_Tables_number 1
_symmetry_space_group_name_Hall 'P 1'
loop_
_atom_site_label
_atom_site_type_symbol
_atom_site_fract_x
_atom_site_fract_y
_atom_site_fract_z
Cl1 Cl 0.323 0.712 0.427
Cl2 Cl 0.187 0.178 0.456
Cl3 Cl 0.373 0.950 0.742
Cl4 Cl 0.813 0.822 0.544
Cl5 Cl 0.177 0.212 0.073
Cl6 Cl 0.873 0.550 0.242
Cl7 Cl 0.127 0.450 0.758
Cl8 Cl 0.687 0.322 0.956
Cl9 Cl 0.313 0.678 0.044
Cl10 Cl 0.823 0.788 0.927
Cl11 Cl 0.677 0.288 0.573
Cl12 Cl 0.627 0.050 0.258
Ga1 Ga 0.018 0.926 0.275
Ga2 Ga 0.482 0.426 0.225
Ga3 Ga 0.982 0.074 0.725
Ga4 Ga 0.518 0.574 0.775
Y1 Y 0.500 0.000 0.500
Y2 Y 0.000 0.500 0.000
Na1 Na 0.000 0.500 0.500
Na2 Na 0.500 0.000 0.000
# Energy relative to the elements, uncorrected = -1561 meV/atom
# Crystal system = monoclinic
# Symmetry = No. 14

***

[2]
# Na2YGaCl6 GGA-PBE optimized geometry
data_Na2YGaCl6
_chemical_formula_sum 'Na2 Y1 Ga1 Cl6'
_cell_length_a 7.130
_cell_length_b 7.131
_cell_length_c 7.685
_cell_angle_alpha 62.34
_cell_angle_beta 62.34
_cell_angle_gamma 60.00
_symmetry_space_group_name_H-M 'P 1'
_symmetry_Int_Tables_number 1
_symmetry_space_group_name_Hall 'P 1'
loop_
_atom_site_label
_atom_site_type_symbol
_atom_site_fract_x
_atom_site_fract_y
_atom_site_fract_z
Na1 Na 0.009 0.009 0.973
Na2 Na 0.521 0.521 0.437
Cl1 Cl 0.131 0.394 0.764
Cl2 Cl 0.581 0.236 0.238
Cl3 Cl 0.711 0.131 0.764
Cl4 Cl 0.945 0.581 0.238
Cl5 Cl 0.394 0.711 0.764
Cl6 Cl 0.236 0.945 0.238
Ga1 Ga 0.810 0.810 0.571
Y1 Y 0.324 0.324 0.028
# Energy relative to the elements, uncorrected = -1782 meV/atom
# Crystal system = trigonal
# Symmetry = No. 146

***

Which value of energy relative to the elements, uncorrected does entry 1 give?
-1561 meV/atom